# Na2HgMoO, optimized geometry, DFT PBE with a Hubbard U
# * energy: -2.483 eV per atom
# * DOS(E_F): 1.0 states/eV per cell
# * ρ: 4.0 g/cm3
# * magnetic moment: 5.066 μB/f.u.
data_Na2HgMoO
_cell_length_a 5.893
_cell_length_b 4.268
_cell_length_c 5.893
_cell_angle_alpha 90.00
_cell_angle_beta 90.00
_cell_angle_gamma 90.00
_space_group_name_H-M_alt 'P 1'
_space_group_IT_number 1
_space_group_name_Hall 'P 1'
loop_
_atom_site_label
_atom_site_fract_x
_atom_site_fract_y
_atom_site_fract_z
Na1 0.000 0.000 0.500
Na2 0.500 0.000 0.000
Hg1 0.000 0.000 0.000
O1 0.000 0.500 0.000
Mo1 0.500 0.500 0.500